Density functional theory data (PBE with a Hubbard U) for crystalline CsVH12C4O14 at its relaxed geometry.

Results
E_tot in eV/atom: -6.069
Fermi-level density of states in states/eV/cell: 0.00
Symmetry: C2/m (12)

Unit cell a=6.014 b=6.019 c=10.855 alpha=79.64 beta=79.65 gamma=77.01
Last column: magnetic moment on the atom in μB.
Fractional coordinates of all 32 atoms:
O 0.310 0.309 0.224  0.00
O 0.397 0.747 0.353  -0.01
O 0.303 0.302 0.461  -0.02
O 0.689 0.689 0.778  0.00
O 0.485 0.109 0.850  0.00
O 0.251 0.601 0.648  -0.01
O 0.602 0.251 0.648  -0.01
O 0.748 0.397 0.353  -0.01
O 0.890 0.513 0.151  0.00
O 0.514 0.889 0.151  0.00
O 0.071 0.070 0.647  0.00
O 0.928 0.928 0.354  0.00
O 0.109 0.484 0.850  0.00
O 0.696 0.696 0.540  -0.02
C 0.744 0.535 0.247  0.01
C 0.256 0.463 0.754  0.01
C 0.536 0.743 0.247  0.01
C 0.464 0.255 0.754  0.01
H 0.706 0.706 0.633  0.00
H 0.208 0.206 0.527  0.00
H 0.160 0.373 0.192  0.00
H 0.839 0.625 0.809  0.00
H 0.293 0.292 0.368  0.00
H 0.884 0.097 0.353  0.00
H 0.792 0.791 0.474  0.00
H 0.625 0.839 0.809  0.00
H 0.902 0.114 0.648  0.00
H 0.097 0.884 0.353  0.00
H 0.374 0.159 0.192  0.00
H 0.115 0.901 0.648  0.00
V 0.500 0.499 0.500  1.91
Cs 0.000 0.999 0.000  0.00